# Ca2AlSe PBE-GGA relaxed
data_Ca2AlSe
_chemical_formula_sum 'Ca2 Al1 Se1'
_symmetry_space_group_name_H-M 'P 1'
_symmetry_Int_Tables_number 1
_cell_length_a 3.6974
_cell_length_b 3.6806
_cell_length_c 7.4167
_cell_angle_alpha 90.00
_cell_angle_beta 90.11
_cell_angle_gamma 90.00
loop_
_symmetry_equiv_pos_as_xyz
'x,y,z'
loop_
_atom_site_label
_atom_site_type_symbol
_atom_site_fract_x
_atom_site_fract_y
_atom_site_fract_z
Ca1 Ca 0.0000 0.0000 0.2352
Ca2 Ca 0.0000 0.0000 0.7648
Al1 Al 0.5000 0.5000 0.5000
Se1 Se 0.5000 0.5000 0.0000
# energy above the most stable polymorph in this dataset	33	meV per atom
# calculated total energy	-3.66	eV per atom